1.
Here is crystalline CuMoAs at its relaxed geometry from Alexandria. Energies are from PBE.

Values from the calculation:
Volume, Å³/cell: 49.0
Excess energy over the best structure of this formula in the dataset, eV per atom: 0.113

Lattice parameters (Å, degrees): 4.106 4.106 4.106 60.00 60.00 60.00
Fractional coordinates of all 3 atoms:
Mo 0.500 0.500 0.500
Cu 0.000 0.000 0.000
As 0.750 0.750 0.750

2.
Here is crystalline NaCa2NpS4 at its relaxed geometry from Alexandria. Energies are from PBE.

Values from the calculation:
Formation energy without anion corrections, eV per atom: -1.705
Volume, Å³/cell: 185.0

Lattice parameters (Å, degrees): 4.028 6.967 6.962 108.75 90.00 90.00
Site moments in Bohr magnetons follow the coordinates.
Fractional coordinates of all 8 atoms:
S 0.000 0.743 0.246  -0.04
S 0.500 0.262 0.252  -0.03
S 0.500 0.738 0.748  -0.03
S 0.000 0.257 0.754  -0.04
Na 0.000 0.000 0.000  0.00
Ca 0.500 0.000 0.500  0.01
Ca 0.000 0.500 0.500  0.01
Np 0.500 0.500 0.000  3.85

3.
Here is crystalline In2Hg6Bi at its relaxed geometry from Alexandria. Energies are from PBE.

Values from the calculation:
Volume, Å³/cell: 247.2
Excess energy over the best structure of this formula in the dataset, eV per atom: 0.000

Lattice parameters (Å, degrees): 3.364 3.364 25.226 90.00 90.00 120.00
Fractional coordinates of all 9 atoms:
Bi 0.667 0.333 0.000
Hg 0.667 0.333 0.441
Hg 0.667 0.333 0.779
Hg 0.667 0.333 0.559
Hg 0.333 0.667 0.885
Hg 0.333 0.667 0.115
Hg 0.667 0.333 0.221
In 0.333 0.667 0.669
In 0.333 0.667 0.331

4.
Here is crystalline Tl2Pb2F5 at its relaxed geometry from Alexandria. Energies are from PBE.

Values from the calculation:
Formation energy without anion corrections, eV per atom: -1.872
Volume, Å³/cell: 414.0

Lattice parameters (Å, degrees): 6.895 6.437 10.452 107.93 109.26 90.00
Fractional coordinates of all 18 atoms:
F 0.935 0.649 0.500
F 0.502 0.433 0.761
F 0.759 0.933 0.761
F 0.782 0.770 0.091
F 0.809 0.270 0.091
F 0.241 0.172 0.239
F 0.065 0.149 0.500
F 0.191 0.180 0.909
F 0.498 0.672 0.239
F 0.218 0.680 0.909
Tl 0.917 0.310 0.718
Tl 0.301 0.810 0.718
Tl 0.083 0.592 0.282
Tl 0.699 0.092 0.282
Pb 0.616 0.756 0.500
Pb 0.384 0.256 0.500
Pb 0.000 0.973 0.000
Pb 0.500 0.473 0.000

5.
Here is crystalline Y6Te3Se2S at its relaxed geometry from Alexandria. Energies are from PBE.

Values from the calculation:
Formation energy without anion corrections, eV per atom: -1.600
Volume, Å³/cell: 315.8

Lattice parameters (Å, degrees): 7.237 7.237 7.371 99.36 99.36 120.08
Fractional coordinates of all 12 atoms:
Y 0.383 0.069 0.209
Y 0.758 0.758 0.215
Y 0.069 0.383 0.209
Y 0.242 0.242 0.785
Y 0.617 0.931 0.791
Y 0.931 0.617 0.791
Te 0.172 0.828 0.500
Te 0.500 0.500 0.500
Te 0.828 0.172 0.500
Se 0.666 0.334 0.000
Se 0.334 0.666 0.000
S 0.000 0.000 0.000